Entry from the Alexandria database: crystalline NaAgRu2Cl at its relaxed geometry (PBE).

* energy relative to the elements, uncorrected: 139.20 kJ per mole of atoms

Unit cell a=5.010 b=5.010 c=5.557 alpha=90.00 beta=90.00 gamma=90.00
Space group P4/mmm (No. 123)
Symmetry-distinct sites (fractional):
Na 0.000 0.000 0.000 (multiplicity 1)
Ag 0.000 0.000 0.500 (multiplicity 1)
Ru 0.000 0.500 0.500 (multiplicity 2)
Cl 0.500 0.500 0.000 (multiplicity 1)

---

Entry from the Alexandria database: crystalline NaAg2RuCl6 at its relaxed geometry (PBE).

* energy relative to the elements, uncorrected: -68.66 kJ per mole of atoms

Unit cell a=6.7671 b=6.7671 c=18.1632 alpha=90.00 beta=90.00 gamma=120.00
Space group R3 (No. 146, hexagonal axes)
Symmetry-distinct sites (fractional):
Na 0.0000 0.0000 0.0000 (multiplicity 3)
Ag 0.0000 0.0000 0.2064 (multiplicity 3)
Ag 0.0000 0.0000 0.7930 (multiplicity 3)
Ru 0.0000 0.0000 0.5000 (multiplicity 3)
Cl 0.0229 0.7224 0.5743 (multiplicity 9)
Cl 0.0556 0.3666 0.0923 (multiplicity 9)

---

Entry from the Alexandria database: crystalline NaAg2RuCl8 at its relaxed geometry (PBE).

* energy relative to the elements, uncorrected: -63.82 kJ per mole of atoms

Unit cell a=6.528 b=7.806 c=6.821 alpha=90.00 beta=114.26 gamma=90.00
Space group P2/m (No. 10)
Symmetry-distinct sites (fractional):
Na 0.000 0.000 0.000 (multiplicity 1)
Ag 0.000 0.236 0.500 (multiplicity 2)
Ru 0.000 0.500 0.000 (multiplicity 1)
Cl 0.187 0.500 0.769 (multiplicity 2)
Cl 0.238 0.000 0.748 (multiplicity 2)
Cl 0.244 0.291 0.219 (multiplicity 4)

---

Entry from the Alexandria database: crystalline NaAgS2Cl at its relaxed geometry (PBE).

* energy relative to the elements, uncorrected: -4.31 kJ per mole of atoms
* offset from the most stable computed form: 0.0000 eV per atom

Unit cell a=4.831 b=4.831 c=5.347 alpha=90.00 beta=90.00 gamma=90.00
Space group P4/mmm (No. 123)
Symmetry-distinct sites (fractional):
Na 0.000 0.000 0.000 (multiplicity 1)
Ag 0.500 0.500 0.500 (multiplicity 1)
S 0.000 0.500 0.500 (multiplicity 2)
Cl 0.500 0.500 0.000 (multiplicity 1)

---

Entry from the Alexandria database: crystalline NaAgSCl2 at its relaxed geometry (PBE).

* energy relative to the elements, uncorrected: -38.96 kJ per mole of atoms
* offset from the most stable computed form: 0.0000 eV per atom

Unit cell a=5.229 b=5.229 c=4.807 alpha=90.00 beta=90.00 gamma=90.00
Space group P4/mmm (No. 123)
Symmetry-distinct sites (fractional):
Na 0.000 0.000 0.000 (multiplicity 1)
Ag 0.500 0.500 0.500 (multiplicity 1)
S 0.500 0.500 0.000 (multiplicity 1)
Cl 0.000 0.500 0.500 (multiplicity 2)

---

Entry from the Alexandria database: crystalline NaAgSCl2 at its relaxed geometry (PBE).

* energy relative to the elements, uncorrected: 5.41 kJ per mole of atoms
* offset from the most stable computed form: 0.4599 eV per atom

Unit cell a=5.165 b=5.165 c=5.126 alpha=90.00 beta=90.00 gamma=90.00
Space group P4/mmm (No. 123)
Symmetry-distinct sites (fractional):
Na 0.000 0.000 0.000 (multiplicity 1)
Ag 0.500 0.500 0.500 (multiplicity 1)
S 0.000 0.000 0.500 (multiplicity 1)
Cl 0.000 0.500 0.000 (multiplicity 2)

---

Entry from the Alexandria database: crystalline NaAgS2Cl at its relaxed geometry (PBE).

* energy relative to the elements, uncorrected: 48.08 kJ per mole of atoms
* offset from the most stable computed form: 0.5429 eV per atom

Unit cell a=5.158 b=5.158 c=5.044 alpha=90.00 beta=90.00 gamma=90.00
Space group P4/mmm (No. 123)
Symmetry-distinct sites (fractional):
Na 0.000 0.000 0.000 (multiplicity 1)
Ag 0.500 0.500 0.500 (multiplicity 1)
S 0.000 0.500 0.000 (multiplicity 2)
Cl 0.000 0.000 0.500 (multiplicity 1)

---

Entry from the Alexandria database: crystalline NaAg2SbCl8 at its relaxed geometry (PBE).

* energy relative to the elements, uncorrected: -73.79 kJ per mole of atoms

Unit cell a=6.451 b=6.954 c=8.480 alpha=75.18 beta=89.39 gamma=79.24
Space group P-1 (No. 2)
Symmetry-distinct sites (fractional):
Na 0.000 0.000 0.000 (multiplicity 1)
Ag 0.495 0.645 0.806 (multiplicity 2)
Sb 0.000 0.000 0.500 (multiplicity 1)
Cl 0.132 0.209 0.254 (multiplicity 2)
Cl 0.164 0.165 0.670 (multiplicity 2)
Cl 0.321 0.740 0.524 (multiplicity 2)
Cl 0.380 0.739 0.068 (multiplicity 2)

---

Among the records above, which one has the lowest energy relative to the elements, uncorrected? NaAg2SbCl8